[1]
Sc2InCu2: relaxed, GGA-PBE.

```
data_Sc2InCu2
_chemical_formula_sum 'Sc4 In2 Cu4'
_space_group_name_H-M_alt 'I 4/m m m'
_space_group_IT_number 139
_space_group_name_Hall '-I 4 2'
_cell_length_a 4.428
_cell_length_b 4.428
_cell_length_c 10.314
_cell_angle_alpha 90.00
_cell_angle_beta 90.00
_cell_angle_gamma 90.00
loop_
_atom_site_label
_atom_site_fract_x
_atom_site_fract_y
_atom_site_fract_z
Sc1 0.000 0.500 0.250
In1 0.000 0.000 0.000
Cu1 0.000 0.000 0.390
```

## Properties
Spin magnetization: 0.00 μB per formula unit
Energy of formation from the pure elements: -0.05 eV per atom

***

[2]
ScInCu: relaxed, GGA-PBE.

```
data_ScInCu
_chemical_formula_sum 'Sc1 In1 Cu1'
_space_group_name_H-M_alt 'P 3 m 1'
_space_group_IT_number 156
_cell_length_a 4.5648
_cell_length_b 4.5648
_cell_length_c 3.2070
_cell_angle_alpha 90.00
_cell_angle_beta 90.00
_cell_angle_gamma 120.00
loop_
_space_group_symop_operation_xyz
'x,y,z'
'-y,x-y,z'
'-x+y,-x,z'
'-y,-x,z'
'-x+y,y,z'
'x,x-y,z'
loop_
_atom_site_label
_atom_site_fract_x
_atom_site_fract_y
_atom_site_fract_z
Sc1 0.0000 0.0000 0.0000
In1 0.6667 0.3333 0.4997
Cu1 0.3333 0.6667 0.5023
```

## Properties
Spin magnetization: 0.12 μB per formula unit
Energy of formation from the pure elements: -0.30 eV per atom

***

[3]
Sc3InCu: relaxed, GGA-PBE.

```
data_Sc3InCu
_chemical_formula_sum 'Sc3 In1 Cu1'
_space_group_name_H-M_alt 'P m -3 m'
_space_group_IT_number 221
_space_group_name_Hall '-P 4 2 3'
_cell_length_a 5.333
_cell_length_b 5.333
_cell_length_c 5.333
_cell_angle_alpha 90.00
_cell_angle_beta 90.00
_cell_angle_gamma 90.00
loop_
_atom_site_label
_atom_site_fract_x
_atom_site_fract_y
_atom_site_fract_z
Sc1 0.000 0.000 0.500
In1 0.000 0.000 0.000
Cu1 0.500 0.500 0.500
```

## Properties
Offset from the most stable computed form: 760.2 meV per atom
Spin magnetization: 1.53 μB per formula unit
Energy of formation from the pure elements: 0.77 eV per atom

***

[4]
Sc5InCu4: relaxed, GGA-PBE.

```
data_Sc5InCu4
_chemical_formula_sum 'Sc5 In1 Cu4'
_space_group_name_H-M_alt 'P 4/m m m'
_space_group_IT_number 123
_space_group_name_Hall '-P 4 2'
_cell_length_a 3.267
_cell_length_b 3.267
_cell_length_c 17.206
_cell_angle_alpha 90.00
_cell_angle_beta 90.00
_cell_angle_gamma 90.00
loop_
_atom_site_label
_atom_site_fract_x
_atom_site_fract_y
_atom_site_fract_z
Sc1 0.000 0.000 0.000
Sc2 0.000 0.000 0.190
Sc3 0.000 0.000 0.378
In1 0.500 0.500 0.500
Cu1 0.500 0.500 0.095
Cu2 0.500 0.500 0.284
```

## Properties
Spin magnetization: 0.00 μB per formula unit
Energy of formation from the pure elements: -0.31 eV per atom

***

[5]
ScIn2Cu2: relaxed, GGA-PBE.

```
data_ScIn2Cu2
_chemical_formula_sum 'Sc2 In4 Cu4'
_space_group_name_H-M_alt 'I 4/m m m'
_space_group_IT_number 139
_space_group_name_Hall '-I 4 2'
_cell_length_a 3.926
_cell_length_b 3.926
_cell_length_c 12.687
_cell_angle_alpha 90.00
_cell_angle_beta 90.00
_cell_angle_gamma 90.00
loop_
_atom_site_label
_atom_site_fract_x
_atom_site_fract_y
_atom_site_fract_z
Sc1 0.000 0.000 0.000
In1 0.000 0.000 0.388
Cu1 0.000 0.500 0.250
```

## Properties
Offset from the most stable computed form: 77.0 meV per atom
Spin magnetization: 0.00 μB per formula unit
Energy of formation from the pure elements: -0.03 eV per atom

***

[6]
ScInCu: relaxed, GGA-PBE.

```
data_ScInCu
_chemical_formula_sum 'Sc2 In2 Cu2'
_space_group_name_H-M_alt 'I m m 2'
_space_group_IT_number 44
_cell_length_a 3.148
_cell_length_b 4.315
_cell_length_c 8.578
_cell_angle_alpha 90.00
_cell_angle_beta 90.00
_cell_angle_gamma 90.00
loop_
_space_group_symop_operation_xyz
'x,y,z'
'-x,-y,z'
'-x,y,z'
'x,-y,z'
'x+1/2,y+1/2,z+1/2'
'-x+1/2,-y+1/2,z+1/2'
'-x+1/2,y+1/2,z+1/2'
'x+1/2,-y+1/2,z+1/2'
loop_
_atom_site_label
_atom_site_fract_x
_atom_site_fract_y
_atom_site_fract_z
Sc1 0.000 0.000 0.000
In1 0.000 0.000 0.666
Cu1 0.000 0.000 0.336
```

## Properties
Spin magnetization: 0.01 μB per formula unit
Energy of formation from the pure elements: -0.09 eV per atom

***

[7]
ScInCu5: relaxed, GGA-PBE.

```
data_ScInCu5
_chemical_formula_sum 'Sc4 In4 Cu20'
_space_group_name_H-M_alt 'P n m a'
_space_group_IT_number 62
_cell_length_a 8.128
_cell_length_b 4.886
_cell_length_c 10.554
_cell_angle_alpha 90.00
_cell_angle_beta 90.00
_cell_angle_gamma 90.00
loop_
_space_group_symop_operation_xyz
'x,y,z'
'-x,-y,-z'
'-x+1/2,-y,z+1/2'
'x+1/2,y,-z+1/2'
'x+1/2,-y+1/2,-z+1/2'
'-x+1/2,y+1/2,z+1/2'
'-x,y+1/2,-z'
'x,-y+1/2,z'
loop_
_atom_site_label
_atom_site_fract_x
_atom_site_fract_y
_atom_site_fract_z
Sc1 0.247 0.250 0.068
In1 0.136 0.250 0.364
Cu1 0.047 0.250 0.599
Cu2 0.068 0.502 0.811
Cu3 0.081 0.750 0.015
Cu4 0.189 0.750 0.234
```

## Properties
Spin magnetization: 0.00 μB per formula unit
Energy of formation from the pure elements: -0.16 eV per atom

***

[8]
Sc12InCu5: relaxed, GGA-PBE.

```
data_Sc12InCu5
_chemical_formula_sum 'Sc24 In2 Cu10'
_space_group_name_H-M_alt 'I m m m'
_space_group_IT_number 71
_space_group_name_Hall '-I 2 2'
_cell_length_a 8.865
_cell_length_b 8.980
_cell_length_c 9.387
_cell_angle_alpha 90.00
_cell_angle_beta 90.00
_cell_angle_gamma 90.00
loop_
_atom_site_label
_atom_site_fract_x
_atom_site_fract_y
_atom_site_fract_z
Sc1 0.000 0.210 0.181
Sc2 0.182 0.222 0.500
Sc3 0.199 0.500 0.271
In1 0.000 0.500 0.000
Cu1 0.000 0.000 0.372
Cu2 0.000 0.500 0.500
Cu3 0.140 0.000 0.000
```

## Properties
Spin magnetization: 0.00 μB per formula unit
Energy of formation from the pure elements: -0.21 eV per atom